The following is a DFT calculation (GGA-PBE) of a relaxed Ba2LiGa3Au12 crystal.

Calculated values
For the volume, the calculation gives 465.8 Å³ per cell. Its crystal system is trigonal. The formation enthalpy at 0 K is -0.20 eV/atom.

```
Ba2LiGa3Au12
1.0
-6.659 -4.741 1.670
0.233 -7.517 -3.612
1.561 -6.238 5.315
Ba Li Ga Au
2 1 3 12
direct
0.616 0.616 0.616
0.384 0.384 0.384
0.000 0.000 0.000
0.500 0.000 0.000
0.000 0.500 0.000
0.000 0.000 0.500
0.329 0.329 0.856
0.880 0.880 0.348
0.348 0.880 0.880
0.856 0.329 0.329
0.880 0.348 0.880
0.329 0.856 0.329
0.671 0.671 0.144
0.120 0.120 0.652
0.652 0.120 0.120
0.144 0.671 0.671
0.120 0.652 0.120
0.671 0.144 0.671
```

The following is a DFT calculation (GGA-PBE) of a relaxed AlCo2Pb crystal.

Calculated values
For the volume, the calculation gives 59.1 Å³ per cell. Its crystal system is monoclinic. The formation enthalpy at 0 K is 0.12 eV/atom. The calculation puts the distance to the lowest polymorph of the same formula at 157 meV/atom.

```
AlCo2Pb
1.0
3.057 0.000 0.219
0.000 3.065 0.000
-0.458 0.000 6.278
Pb Co Al
1 2 1
direct
0.000 0.000 0.500
0.499 0.500 0.790
0.501 0.500 0.210
0.000 0.000 0.000
```